SrP2OsO: relaxed, GGA-PBE.

Its energy above the most stable polymorph in this dataset is 0.000 eV/f.u. For the uncorrected formation energy, the calculation gives -0.383 eV per atom. Its magnetization is 0.90 μB/cell.

abc: 4.9349 4.9349 3.8177
angles: 90.00 90.00 90.00
Last column: nearest neighbours and their distance in Å.
Fractional coordinates of all 5 atoms:
Sr (0.5000, 0.5000, 0.5000)  8 P 3.12, 4 O 3.49
Os (0.0000, 0.0000, 0.0000)  2 O 1.91
O (0.0000, 0.0000, 0.5000)  2 Os 1.91
P (0.0000, 0.5000, 0.0000)  2 Os 2.47
P (0.5000, 0.0000, 0.0000)  2 Os 2.47